K2CuH6Rh: optimized geometry, PBE-GGA.

Cell lengths 4.985, 4.985, 5.923 Å; angles 65.11, 65.11, 89.99 degrees
Element x y z (fractional)
1 K 0.750 0.250 0.500
2 K 0.250 0.750 0.500
3 Cu 0.500 0.500 0.000
4 H 0.176 0.176 0.647
5 H 0.750 0.750 0.000
6 H 0.250 0.750 0.000
7 H 0.750 0.250 0.000
8 H 0.250 0.250 0.000
9 H 0.824 0.824 0.353
10 Rh 0.000 0.000 0.000

* symmetry: No. 139
* final energy: -3.526 eV/atom
* N(E_F): 0.21 states/eV per atom